Record 1
PaTiCu: optimized geometry, GGA-PBE.

excess energy over the best structure of this formula in the dataset = 63.5 kJ/mol of formula units
DFT formation energy = 451.7 meV per atom
ρ = 9.2 g/cm³
space group = P4_2/mmc (131)

Unit cell a=6.8345 b=6.8345 c=5.2784 alpha=90.00 beta=90.00 gamma=90.00
Last column: nearest neighbours and their distance in Å.
Atoms (fractional coordinates):
Pa 0.0000 0.2788 0.0000  4 Cu 2.66-2.92
Pa 0.0000 0.7212 0.0000  4 Cu 2.66-2.92
Pa 0.2788 0.0000 0.5000  4 Cu 2.66-2.92
Pa 0.7212 0.0000 0.5000  4 Cu 2.66-2.92
Ti 0.3264 0.5000 0.5000  1 Ti 2.37, 2 Cu 2.54
Ti 0.5000 0.3264 0.0000  1 Ti 2.37, 2 Cu 2.54
Ti 0.5000 0.6736 0.0000  1 Ti 2.37, 2 Cu 2.54
Ti 0.6736 0.5000 0.5000  1 Ti 2.37, 2 Cu 2.54
Cu 0.0000 0.3236 0.5000  1 Cu 2.41, 2 Ti 2.54, 2 Pa 2.66
Cu 0.0000 0.6764 0.5000  1 Cu 2.41, 2 Ti 2.54, 2 Pa 2.66
Cu 0.3236 0.0000 0.0000  1 Cu 2.41, 2 Ti 2.54, 2 Pa 2.66
Cu 0.6764 0.0000 0.0000  1 Cu 2.41, 2 Ti 2.54, 2 Pa 2.66


Record 2
PaTi2Cu: optimized geometry, GGA-PBE.

excess energy over the best structure of this formula in the dataset = 0.2 kJ/mol of formula units
DFT formation energy = 92.9 meV per atom
ρ = 9.0 g/cm³
space group = F-43m (216)

Unit cell a=4.6714 b=4.6714 c=4.6714 alpha=60.00 beta=60.00 gamma=60.00
Last column: nearest neighbours and their distance in Å.
Atoms (fractional coordinates):
Pa 0.0000 0.0000 0.0000  4 Ti 2.86, 4 Cu 2.86
Ti 0.5000 0.5000 0.5000  4 Cu 2.86, 4 Ti 2.86
Ti 0.7500 0.7500 0.7500  4 Pa 2.86, 4 Ti 2.86
Cu 0.2500 0.2500 0.2500  4 Pa 2.86, 4 Ti 2.86


In order of appearance, M_tot = 0.7 0.0 μB/f.u..